# 1
Here is a geometry-optimized ScTaNi structure from the Alexandria database. Energies are from PBE.

Unit cell a=5.452 b=5.452 c=7.739 alpha=122.60 beta=122.60 gamma=32.82
Fractional positions:
Sc 0.000 0.000 0.000
Sc 0.246 0.246 0.568
Ta 0.558 0.558 0.685
Ta 0.846 0.846 0.303
Ni 0.264 0.264 0.976
Ni 0.542 0.542 0.291

Computed properties:
The crystal system is monoclinic. Its space-group type is Cm (8). The value obtained for the total energy is -48.936 eV/cell. For the total magnetic moment, the calculation gives 0.000 μB per formula unit.

# 2
Here is a geometry-optimized TaNbFeRh structure from the Alexandria database. Energies are from PBE.

Unit cell a=4.451 b=4.451 c=4.451 alpha=60.00 beta=60.00 gamma=60.00
Fractional positions:
Ta 0.000 0.000 0.000
Nb 0.500 0.500 0.500
Fe 0.250 0.250 0.250
Rh 0.750 0.750 0.750

Computed properties:
The crystal system is cubic. Its space-group type is F-43m (216). The value obtained for the total energy is -38.286 eV/cell. For the total magnetic moment, the calculation gives 1.607 μB per formula unit.

# 3
Here is a geometry-optimized TiIrPbBr2 structure from the Alexandria database. Energies are from PBE.

Unit cell a=4.794 b=4.794 c=6.185 alpha=90.00 beta=90.00 gamma=90.00
Fractional positions:
Ti 0.000 0.000 0.000
Ir 0.500 0.500 0.500
Pb 0.000 0.000 0.500
Br 0.000 0.500 0.000
Br 0.500 0.000 0.000

Computed properties:
The crystal system is tetragonal. Its space-group type is P4/mmm (123). The value obtained for the total energy is -20.669 eV/cell. The calculation puts the uncorrected formation energy at 3.141 eV per formula unit. For the total magnetic moment, the calculation gives 2.458 μB per formula unit.

# 4
Here is a geometry-optimized ReTcW2 structure from the Alexandria database. Energies are from PBE.

Unit cell a=2.757 b=2.757 c=8.246 alpha=90.00 beta=90.00 gamma=90.00
Fractional positions:
Re 0.000 0.000 0.000
Tc 0.500 0.500 0.221
W 0.000 0.000 0.474
W 0.500 0.500 0.745

Computed properties:
The crystal system is tetragonal. Its space-group type is P4mm (99). The value obtained for the total energy is -47.999 eV/cell. For the total magnetic moment, the calculation gives 0.000 μB per formula unit.

# 5
Here is a geometry-optimized Cs2NaAg2 structure from the Alexandria database. Energies are from PBE.

Unit cell a=8.524 b=8.524 c=8.524 alpha=139.75 beta=139.75 gamma=58.23
Fractional positions:
Cs 0.250 0.750 0.500
Cs 0.750 0.250 0.500
Na 0.000 0.000 0.000
Ag 0.407 0.407 0.000
Ag 0.593 0.593 0.000

Computed properties:
The crystal system is tetragonal. Its space-group type is I4/mmm (139). The value obtained for the total energy is -7.427 eV/cell. For the total magnetic moment, the calculation gives 0.000 μB per formula unit.

# 6
Here is a geometry-optimized LiInCu structure from the Alexandria database. Energies are from PBE.

Unit cell a=4.356 b=4.356 c=4.356 alpha=60.00 beta=60.00 gamma=60.00
Fractional positions:
Li 0.000 0.000 0.000
In 0.500 0.500 0.500
Cu 0.750 0.750 0.750

Computed properties:
The crystal system is cubic. Its space-group type is F-43m (216). The value obtained for the total energy is -8.758 eV/cell. For the total magnetic moment, the calculation gives 0.000 μB per formula unit.

# 7
Here is a geometry-optimized PmNd2Cu2 structure from the Alexandria database. Energies are from PBE.

Unit cell a=3.635 b=5.209 c=13.515 alpha=90.00 beta=97.67 gamma=90.00
Fractional positions:
Pm 0.140 0.250 0.281
Pm 0.860 0.750 0.719
Nd 0.047 0.750 0.094
Nd 0.230 0.750 0.459
Nd 0.770 0.250 0.541
Nd 0.953 0.250 0.906
Cu 0.361 0.250 0.723
Cu 0.454 0.750 0.906
Cu 0.546 0.250 0.094
Cu 0.639 0.750 0.277

Computed properties:
The crystal system is monoclinic. Its space-group type is P2_1/m (11). The value obtained for the total energy is -45.798 eV/cell. For the total magnetic moment, the calculation gives 0.000 μB per formula unit.

# 8
Here is a geometry-optimized Sc2GaTe structure from the Alexandria database. Energies are from PBE.

Unit cell a=6.274 b=6.274 c=6.274 alpha=104.98 beta=104.98 gamma=118.88
Fractional positions:
Sc 0.114 0.625 0.989
Sc 0.375 0.364 0.489
Sc 0.636 0.125 0.011
Sc 0.875 0.886 0.511
Ga 0.000 0.000 0.000
Ga 0.750 0.250 0.500
Te 0.250 0.750 0.500
Te 0.500 0.500 0.000

Computed properties:
The crystal system is tetragonal. Its space-group type is I-42d (122). The value obtained for the total energy is -41.833 eV/cell. The calculation puts the uncorrected formation energy at -2.085 eV per formula unit. For the total magnetic moment, the calculation gives 0.361 μB per formula unit.